[1]
The following is a DFT calculation (PBE+U) of a relaxed K2NaVF6 crystal.

Results
- DFT total energy (eV/atom) = -5.05

Unit cell a=5.9907 b=5.9907 c=5.9907 alpha=60.00 beta=60.00 gamma=60.00
Element x y z (fractional)
K 0.2500 0.2500 0.2500
K 0.7500 0.7500 0.7500
Na 0.0000 0.0000 0.0000
V 0.5000 0.5000 0.5000
F 0.2670 0.2670 0.7330
F 0.2670 0.7330 0.2670
F 0.2670 0.7330 0.7330
F 0.7330 0.2670 0.2670
F 0.7330 0.2670 0.7330
F 0.7330 0.7330 0.2670


[2]
The following is a DFT calculation (PBE+U) of a relaxed KNaVF6 crystal.

Results
- DFT total energy (eV/atom) = -5.20

Unit cell a=5.6862 b=5.6862 c=5.4343 alpha=90.00 beta=90.00 gamma=119.34
Element x y z (fractional)
K 0.0000 0.0000 0.0000
Na 0.6697 0.3303 0.5000
V 0.3347 0.6653 0.5000
F 0.0565 0.3960 0.3033
F 0.0601 0.6514 0.7000
F 0.3460 0.3998 0.6990
F 0.3486 0.9399 0.3000
F 0.6002 0.6540 0.3010
F 0.6040 0.9435 0.6967


[3]
The following is a DFT calculation (PBE+U) of a relaxed K3Na2VF8 crystal.

Results
- DFT total energy (eV/atom) = -4.80

Unit cell a=5.8949 b=5.8949 c=8.0432 alpha=90.00 beta=90.00 gamma=120.00
Element x y z (fractional)
K 0.0000 0.0000 0.0000
K 0.3333 0.6667 0.6282
K 0.6667 0.3333 0.3718
Na 0.3333 0.6667 0.1926
Na 0.6667 0.3333 0.8074
V 0.0000 0.0000 0.5000
F 0.1561 0.3121 0.3547
F 0.1561 0.8439 0.3547
F 0.3121 0.1561 0.6453
F 0.3333 0.6667 0.9317
F 0.6667 0.3333 0.0683
F 0.6879 0.8439 0.3547
F 0.8439 0.1561 0.6453
F 0.8439 0.6879 0.6453


[4]
The following is a DFT calculation (PBE+U) of a relaxed KNa2VF6 crystal.

Results
- DFT total energy (eV/atom) = -5.10

Unit cell a=5.8325 b=6.1275 c=10.2114 alpha=90.00 beta=124.00 gamma=90.00
Element x y z (fractional)
K 0.0000 0.0000 0.0000
K 0.0000 0.5000 0.5000
Na 0.2275 0.0261 0.7179
Na 0.2275 0.4739 0.2179
Na 0.7725 0.5261 0.7821
Na 0.7725 0.9739 0.2821
V 0.5000 0.0000 0.5000
V 0.5000 0.5000 0.0000
F 0.1737 0.1406 0.4737
F 0.1737 0.3594 0.9737
F 0.2600 0.7437 0.3866
F 0.2600 0.7563 0.8866
F 0.4187 0.1296 0.2979
F 0.4187 0.3704 0.7979
F 0.5813 0.6296 0.2021
F 0.5813 0.8704 0.7021
F 0.7400 0.2437 0.1134
F 0.7400 0.2563 0.6134
F 0.8263 0.6406 0.0263
F 0.8263 0.8594 0.5263


Q: Among the records above, which one has the lowest DFT total energy?
A: KNaVF6


Q: Which value of DFT total energy does entry 3 give?
A: -4.80 eV/atom